Record 1
Here is a relaxed Tl5Se2S crystal from Alexandria via LeMat-Bulk. Energies are from PBE.

DOS at the Fermi energy: 1.79 states/eV per cell
total energy: -25.22 eV per cell

Unit cell a=7.7642 b=7.7709 c=7.8413 alpha=118.95 beta=70.53 gamma=137.25
Closest atoms and distances in Å follow each position.
Fractional coordinates of all 8 atoms:
Se (0.0822, 0.3908, 0.6120)  5 Tl 2.91-3.19
Se (0.8344, 0.5991, 0.3396)  6 Tl 2.97-3.27
Tl (0.7457, 0.4846, 0.9251)  1 S 2.91, 2 Se 3.10-3.19
Tl (0.2708, 0.8840, 0.5980)  1 S 2.97, 2 Se 2.98-3.12
Tl (0.2704, 0.1558, 0.3133)  1 S 2.78, 3 Se 2.91-3.02
Tl (0.7271, 0.8964, 0.7388)  2 Se 3.11-3.15, 1 S 3.15
Tl (0.7427, 0.0835, 0.2627)  1 S 2.98, 2 Se 3.06-3.27
S (0.1036, 0.0599, 0.9876)  4 Tl 2.78-2.98



Record 2
Here is a relaxed Tc3PbC crystal from Alexandria via LeMat-Bulk. Energies are from PBE.

DFT formation energy: 86.0 kcal/mol of atoms
DOS at the Fermi energy: 7.46 states/eV per cell
total energy: -25.39 eV per cell

Unit cell a=5.1911 b=5.1911 c=5.1911 alpha=90.00 beta=90.00 gamma=90.00
Closest atoms and distances in Å follow each position.
Fractional coordinates of all 5 atoms:
Pb (0.0000, 0.0000, 0.0000)  6 Tc 2.60
Tc (0.0000, 0.0000, 0.5000)  2 Pb 2.60
Tc (0.0000, 0.5000, 0.0000)  2 Pb 2.60
Tc (0.5000, 0.0000, 0.0000)  2 Pb 2.60
C (0.5000, 0.5000, 0.5000)  12 Tc 3.67



Record 3
Here is a relaxed Pm5Pr7 crystal from Alexandria via LeMat-Bulk. Energies are from PBE.

DFT formation energy: 0.1 kcal/mol of atoms
DOS at the Fermi energy: 16.38 states/eV per cell
total energy: -57.13 eV per cell

Unit cell a=3.7055 b=9.8051 c=12.5085 alpha=73.77 beta=81.48 gamma=79.11
Closest atoms and distances in Å follow each position.
Fractional coordinates of all 12 atoms:
Pm (0.0000, 0.0000, 0.0000)  10 Pr 3.67-3.70, 2 Pm 3.71
Pm (0.1674, 0.1665, 0.4987)  6 Pr 3.64-3.71, 6 Pm 3.66-3.71
Pm (0.8326, 0.8335, 0.5013)  6 Pr 3.64-3.71, 6 Pm 3.66-3.71
Pm (0.3061, 0.6388, 0.7491)  4 Pm 3.66-3.71, 8 Pr 3.66-3.70
Pm (0.6939, 0.3612, 0.2509)  4 Pm 3.66-3.71, 8 Pr 3.66-3.70
Pr (0.3331, 0.3326, 0.0011)  7 Pr 3.67-3.71, 5 Pm 3.67-3.70
Pr (0.6669, 0.6674, 0.9989)  7 Pr 3.67-3.71, 5 Pm 3.67-3.70
Pr (0.0278, 0.6945, 0.2499)  4 Pm 3.67-3.70, 8 Pr 3.68-3.71
Pr (0.6396, 0.9716, 0.7491)  7 Pm 3.64-3.70, 5 Pr 3.67-3.71
Pr (0.9722, 0.3055, 0.7501)  4 Pm 3.67-3.70, 8 Pr 3.68-3.71
Pr (0.3604, 0.0284, 0.2509)  7 Pm 3.64-3.70, 5 Pr 3.67-3.71
Pr (0.5000, 0.5000, 0.5000)  6 Pm 3.66-3.71, 6 Pr 3.68-3.71



Record 4
Here is a relaxed BiAsPt3 crystal from Alexandria via LeMat-Bulk. Energies are from PBE.

DFT formation energy: 29.0 kcal/mol of atoms
DOS at the Fermi energy: 4.19 states/eV per cell
total energy: -20.37 eV per cell

Unit cell a=5.0612 b=5.0612 c=5.0612 alpha=90.00 beta=90.00 gamma=90.00
Closest atoms and distances in Å follow each position.
Fractional coordinates of all 5 atoms:
Pt (0.0000, 0.5000, 0.0000)  2 Bi 2.53
Pt (0.0000, 0.0000, 0.5000)  2 Bi 2.53
Pt (0.5000, 0.0000, 0.0000)  2 Bi 2.53
Bi (0.0000, 0.0000, 0.0000)  6 Pt 2.53
As (0.5000, 0.5000, 0.5000)  12 Pt 3.58



Record 5
Here is a relaxed BaSrY2Ru crystal from Alexandria via LeMat-Bulk. Energies are from PBE.

DFT formation energy: -0.3 kcal/mol of atoms
DOS at the Fermi energy: 4.00 states/eV per cell
total energy: -25.88 eV per cell

Unit cell a=5.4728 b=5.4728 c=6.1343 alpha=90.00 beta=90.00 gamma=90.00
Closest atoms and distances in Å follow each position.
Fractional coordinates of all 5 atoms:
Y (0.0000, 0.5000, 0.0000)  2 Ru 2.74
Y (0.5000, 0.0000, 0.0000)  2 Ru 2.74
Ru (0.0000, 0.0000, 0.0000)  4 Y 2.74
Ba (0.5000, 0.5000, 0.5000)  4 Sr 3.87, 8 Y 4.11
Sr (0.0000, 0.0000, 0.5000)  2 Ru 3.07



Record 6
Here is a relaxed AcPmHo3 crystal from Alexandria via LeMat-Bulk. Energies are from PBE.

DFT formation energy: 3.5 kcal/mol of atoms
DOS at the Fermi energy: 14.77 states/eV per cell
total energy: -43.69 eV per cell

Unit cell a=4.9297 b=10.2732 c=8.6331 alpha=59.18 beta=90.00 gamma=103.87
Closest atoms and distances in Å follow each position.
Fractional coordinates of all 10 atoms:
Ho (0.9362, 0.9055, 0.9324)  8 Ho 3.43-3.71, 1 Pm 3.55, 2 Ac 3.73-3.74
Ho (0.1078, 0.2485, 0.4891)  8 Ho 3.43-3.71, 1 Pm 3.55, 2 Ac 3.73-3.74
Ho (0.7488, 0.5307, 0.3831)  6 Ho 3.40-3.71, 2 Pm 3.60, 2 Ac 3.74
Ho (0.5770, 0.1871, 0.7964)  6 Ho 3.23-3.44, 2 Pm 3.42
Ho (0.4670, 0.9670, 0.6251)  6 Ho 3.23-3.44, 2 Pm 3.42
Ho (0.2952, 0.6234, 0.0384)  6 Ho 3.40-3.71, 2 Pm 3.60, 2 Ac 3.74
Ac (0.4069, 0.8476, 0.2878)  7 Ho 3.68-3.84, 3 Pm 3.76-3.90, 1 Ac 4.04
Ac (0.6371, 0.3065, 0.1337)  7 Ho 3.68-3.84, 3 Pm 3.76-3.90, 1 Ac 4.04
Pm (0.8349, 0.7028, 0.6958)  5 Ho 3.42-3.60, 2 Pm 3.43, 1 Ac 3.76
Pm (0.2091, 0.4513, 0.7257)  5 Ho 3.42-3.60, 2 Pm 3.43, 1 Ac 3.76



Record 7
Here is a relaxed AlCu4Au5 crystal from Alexandria via LeMat-Bulk. Energies are from PBE.

DFT formation energy: -2.6 kcal/mol of atoms
DOS at the Fermi energy: 3.75 states/eV per cell
total energy: -37.63 eV per cell

Unit cell a=3.1430 b=3.1430 c=15.5153 alpha=90.00 beta=90.00 gamma=90.00
Closest atoms and distances in Å follow each position.
Fractional coordinates of all 10 atoms:
Au (0.5000, 0.5000, 0.3023)  8 Cu 2.70
Au (0.5000, 0.5000, 0.1007)  4 Al 2.72, 4 Cu 2.74
Au (0.5000, 0.5000, 0.6977)  8 Cu 2.70
Au (0.5000, 0.5000, 0.8993)  4 Al 2.72, 4 Cu 2.74
Au (0.5000, 0.5000, 0.5000)  8 Cu 2.70
Cu (0.0000, 0.0000, 0.7960)  8 Au 2.70-2.74
Cu (0.0000, 0.0000, 0.4010)  8 Au 2.70
Cu (0.0000, 0.0000, 0.2040)  8 Au 2.70-2.74
Cu (0.0000, 0.0000, 0.5990)  8 Au 2.70
Al (0.0000, 0.0000, 0.0000)  8 Au 2.72



Record 8
Here is a relaxed Cs4DyI7 crystal from Alexandria via LeMat-Bulk. Energies are from PBE.

DOS at the Fermi energy: 0.00 states/eV per cell
total energy: -36.73 eV per cell

Unit cell a=6.2110 b=10.2234 c=11.8638 alpha=72.86 beta=74.83 gamma=72.32
Closest atoms and distances in Å follow each position.
Fractional coordinates of all 12 atoms:
I (0.3586, 0.7385, 0.5444)  5 Cs 3.76-3.94
I (0.9292, 0.8760, 0.2656)  1 Dy 3.00
I (0.5000, 0.0000, 0.0000)  2 Dy 3.11
I (0.1668, 0.7031, 0.9632)  1 Dy 3.02
I (0.6414, 0.2615, 0.4556)  5 Cs 3.76-3.94
I (0.0708, 0.1240, 0.7344)  1 Dy 3.00
I (0.8332, 0.2969, 0.0368)  1 Dy 3.02
Cs (0.2760, 0.1191, 0.3289)  6 I 3.82-4.19
Cs (0.4299, 0.3810, 0.7592)  5 I 3.76-4.07
Cs (0.7240, 0.8809, 0.6711)  6 I 3.82-4.19
Cs (0.5701, 0.6190, 0.2408)  5 I 3.76-4.07
Dy (0.0000, 0.0000, 0.0000)  6 I 3.00-3.11



Record 9
Here is a relaxed Na2Ca2SbO6 crystal from Alexandria via LeMat-Bulk. Energies are from PBE.

DOS at the Fermi energy: 5.14 states/eV per cell
total energy: -62.21 eV per cell

Unit cell a=5.8597 b=5.8597 c=5.9003 alpha=99.00 beta=99.00 gamma=119.45
Closest atoms and distances in Å follow each position.
Fractional coordinates of all 11 atoms:
O (0.3470, 0.0468, 0.6967)  1 Sb 2.04
O (0.0468, 0.3470, 0.6967)  1 Sb 2.04
O (0.2214, 0.2214, 0.3011)  1 Sb 2.01
O (0.9532, 0.6530, 0.3033)  1 Sb 2.04
O (0.7786, 0.7786, 0.6989)  1 Sb 2.01
O (0.6530, 0.9532, 0.3033)  1 Sb 2.04
Ca (0.6598, 0.3402, 0.5000)  6 O 2.35-2.42
Ca (0.3402, 0.6598, 0.5000)  6 O 2.35-2.42
Na (0.8467, 0.1533, 0.0000)  4 O 2.42
Na (0.1533, 0.8467, 0.0000)  4 O 2.42
Sb (0.0000, 0.0000, 0.5000)  6 O 2.01-2.04



Record 10
Here is a relaxed CaSc2Ir crystal from Alexandria via LeMat-Bulk. Energies are from PBE.

DFT formation energy: -7.9 kcal/mol of atoms
DOS at the Fermi energy: 2.66 states/eV per cell
total energy: -24.90 eV per cell

Unit cell a=3.5710 b=3.9009 c=7.7580 alpha=75.44 beta=90.00 gamma=90.00
Closest atoms and distances in Å follow each position.
Fractional coordinates of all 4 atoms:
Ir (0.5000, 0.5090, 0.8566)  5 Sc 2.51-2.69
Sc (0.5000, 0.3418, 0.1912)  1 Ir 2.51
Sc (0.0000, 0.9759, 0.9228)  4 Ir 2.69
Ca (0.0000, 0.6732, 0.5294)  2 Ir 3.04



Record 11
Here is a relaxed Tb4Pm4Dy5 crystal from Alexandria via LeMat-Bulk. Energies are from PBE.

DFT formation energy: 0.3 kcal/mol of atoms
DOS at the Fermi energy: 17.39 states/eV per cell
total energy: -60.34 eV per cell

Unit cell a=5.0472 b=9.4826 c=9.4826 alpha=85.94 beta=74.57 gamma=74.57
Closest atoms and distances in Å follow each position.
Fractional coordinates of all 13 atoms:
Dy (0.0000, 0.0000, 0.0000)  8 Dy 3.56, 4 Tb 3.57
Dy (0.3097, 0.1512, 0.2293)  4 Dy 3.55-3.56, 5 Tb 3.56-3.61, 3 Pm 3.58-3.61
Dy (0.6903, 0.8488, 0.7707)  4 Dy 3.55-3.56, 5 Tb 3.56-3.61, 3 Pm 3.58-3.61
Dy (0.5391, 0.7707, 0.1512)  4 Dy 3.55-3.56, 5 Tb 3.56-3.61, 3 Pm 3.58-3.61
Dy (0.4609, 0.2293, 0.8488)  4 Dy 3.55-3.56, 5 Tb 3.56-3.61, 3 Pm 3.58-3.61
Tb (0.7703, 0.3829, 0.0765)  4 Pm 3.56-3.59, 6 Dy 3.56-3.61, 2 Tb 3.59
Tb (0.2297, 0.6171, 0.9235)  4 Pm 3.56-3.59, 6 Dy 3.56-3.61, 2 Tb 3.59
Tb (0.1532, 0.0765, 0.6171)  6 Dy 3.56-3.61, 4 Pm 3.56-3.59, 2 Tb 3.59
Tb (0.8468, 0.9235, 0.3829)  6 Dy 3.56-3.61, 4 Pm 3.56-3.59, 2 Tb 3.59
Pm (0.3831, 0.6950, 0.5387)  4 Tb 3.56-3.59, 3 Dy 3.58-3.61, 5 Pm 3.60-3.63
Pm (0.6169, 0.3050, 0.4613)  4 Tb 3.56-3.59, 3 Dy 3.58-3.61, 5 Pm 3.60-3.63
Pm (0.0781, 0.5387, 0.3050)  4 Tb 3.56-3.59, 3 Dy 3.58-3.61, 5 Pm 3.60-3.63
Pm (0.9219, 0.4613, 0.6950)  4 Tb 3.56-3.59, 3 Dy 3.58-3.61, 5 Pm 3.60-3.63